(1)
K3Pu2CdSe6: optimized geometry, GGA-PBE.

a b c (Å): 7.3269 7.3269 8.0329
angles (deg): 98.72 98.72 119.98
Closest atoms and distances in Å follow each position.
Positions (direct):
K  0.1634  0.8366  0.5000  6 Se 3.32-3.35
K  0.8366  0.1634  0.5000  6 Se 3.32-3.35
K  0.5000  0.5000  0.5000  6 Se 3.30-3.35
Pu  0.3330  0.6670  0.0000  6 Se 2.88
Pu  0.6670  0.3330  0.0000  6 Se 2.88
Cd  0.0000  0.0000  0.0000  6 Se 2.93-2.94
Se  0.9318  0.5924  0.7955  2 Pu 2.88, 1 Cd 2.94
Se  0.7287  0.7287  0.2034  2 Pu 2.88, 1 Cd 2.93
Se  0.0682  0.4076  0.2045  2 Pu 2.88, 1 Cd 2.94
Se  0.5924  0.9318  0.7955  2 Pu 2.88, 1 Cd 2.94
Se  0.2713  0.2713  0.7966  2 Pu 2.88, 1 Cd 2.93
Se  0.4076  0.0682  0.2045  2 Pu 2.88, 1 Cd 2.94

Output
The density comes out at 5.56 g/cm³. The value obtained for the raw formation energy is -1.235 eV/atom.

(2)
KCa2Os: optimized geometry, GGA-PBE.

a b c (Å): 5.1556 5.1556 4.0246
angles (deg): 90.00 90.00 90.00
Closest atoms and distances in Å follow each position.
Positions (direct):
Ca  0.0000  0.0000  0.0000  4 K 3.27, 4 Os 3.27, 4 Ca 3.65
Ca  0.5000  0.5000  0.0000  4 Os 3.27, 4 K 3.27, 4 Ca 3.65
K  0.5000  0.0000  0.5000  8 Ca 3.27, 4 Os 3.65
Os  0.0000  0.5000  0.5000  8 Ca 3.27, 4 K 3.65

Output
The density comes out at 4.80 g/cm³. The energy above the lowest structure with this stoichiometry comes out at 441 meV per atom. As for the energy of formation: 0.8519 eV/atom.

(3)
MoP2Br: optimized geometry, GGA-PBE.

a b c (Å): 3.0522 4.5795 4.6193
angles (deg): 90.00 90.00 90.00
Closest atoms and distances in Å follow each position.
Positions (direct):
Br  0.5000  0.0000  0.5000  4 Mo 2.75, 4 P 2.77, 2 Br 3.05
Mo  0.0000  0.5000  0.5000  4 Br 2.75, 4 P 2.77, 2 Mo 3.05
P  0.0000  0.0000  0.0000  6 P 2.75-3.05, 4 Br 2.77
P  0.5000  0.5000  0.0000  6 P 2.75-3.05, 4 Mo 2.77

Output
The density comes out at 6.12 g/cm³. The energy above the lowest structure with this stoichiometry comes out at 963 meV per atom. The value obtained for the raw formation energy is 0.848 eV/atom.

(4)
AlTc2Ir: optimized geometry, GGA-PBE.

a b c (Å): 5.8010 4.8334 2.7776
angles (deg): 90.01 61.37 117.54
Closest atoms and distances in Å follow each position.
Positions (direct):
Ir  0.5000  0.5000  0.0000  2 Al 2.55, 2 Ir 2.78, 8 Tc 2.79
Tc  0.0000  0.0000  0.0000  4 Tc 2.55-2.78, 4 Ir 2.79, 4 Al 2.79
Tc  0.5000  0.0000  0.5000  4 Tc 2.55-2.78, 4 Al 2.79, 4 Ir 2.79
Al  0.0000  0.5000  0.5000  2 Ir 2.55, 2 Al 2.78, 8 Tc 2.79

Output
The density comes out at 11.87 g/cm³. As for the energy of formation: -0.1815 eV/atom.

(5)
BeHgPt3: optimized geometry, GGA-PBE.

a b c (Å): 7.5484 7.5484 5.2388
angles (deg): 90.00 90.00 139.54
Closest atoms and distances in Å follow each position.
Positions (direct):
Be  0.4848  0.5152  0.2500  2 Pt 2.20
Be  0.5152  0.4848  0.7500  2 Pt 2.20
Hg  0.1861  0.8139  0.2500  8 Pt 2.78-3.00
Hg  0.8139  0.1861  0.7500  8 Pt 2.78-3.00
Pt  0.6079  0.8887  0.2500  1 Be 2.20
Pt  0.1113  0.3921  0.2500  1 Be 2.20
Pt  0.8887  0.6079  0.7500  1 Be 2.20
Pt  0.3921  0.1113  0.7500  1 Be 2.20
Pt  0.0000  0.0000  0.0000  6 Pt 2.62-2.72, 4 Be 2.93
Pt  0.0000  0.0000  0.5000  6 Pt 2.62-2.72, 4 Be 2.93

Output
The density comes out at 13.63 g/cm³. The energy above the lowest structure with this stoichiometry comes out at 483 meV per atom. As for the energy of formation: 0.1790 eV/atom.

(6)
Sr8Pr4Cu9Hg3O24: optimized geometry, GGA-PBE.

a b c (Å): 8.7488 8.7488 12.9527
angles (deg): 74.32 74.32 53.19
Closest atoms and distances in Å follow each position.
Positions (direct):
Sr  0.5792  0.0662  0.2220  8 O 2.64-2.94
Sr  0.0662  0.5792  0.2220  8 O 2.64-2.94
Sr  0.8234  0.3096  0.2221  8 O 2.64-2.94
Sr  0.3096  0.8234  0.2221  8 O 2.64-2.94
Sr  0.4208  0.9338  0.7780  8 O 2.64-2.94
Sr  0.9338  0.4208  0.7780  8 O 2.64-2.94
Sr  0.6904  0.1766  0.7779  8 O 2.64-2.94
Sr  0.1766  0.6904  0.7779  8 O 2.64-2.94
Pr  0.5000  0.0000  0.5000  8 O 2.53
Pr  0.0000  0.5000  0.5000  8 O 2.53
Pr  0.7488  0.2512  0.5000  8 O 2.52-2.54
Pr  0.2512  0.7488  0.5000  8 O 2.52-2.54
Cu  0.4084  0.4084  0.3665  4 O 1.95-1.96
Cu  0.9077  0.9077  0.3697  4 O 1.95-1.96
Cu  0.6582  0.6582  0.3653  4 O 1.96-1.97
Cu  0.1591  0.1591  0.3658  4 O 1.95-1.97
Cu  0.3418  0.3418  0.6347  4 O 1.96-1.97
Cu  0.8409  0.8409  0.6342  4 O 1.95-1.97
Cu  0.5916  0.5916  0.6335  4 O 1.95-1.96
Cu  0.0923  0.0923  0.6303  4 O 1.95-1.96
Cu  0.0000  0.0000  0.0000  2 O 1.84
Hg  0.2466  0.2466  0.0000  2 O 2.03
Hg  0.5000  0.5000  0.0000  2 O 2.04
Hg  0.7534  0.7534  0.0000  2 O 2.03
O  0.2828  0.2828  0.3706  2 Cu 1.95
O  0.7827  0.7827  0.3699  2 Cu 1.96-1.97
O  0.5320  0.5320  0.3705  2 Cu 1.95-1.96
O  0.0325  0.0325  0.3700  2 Cu 1.95-1.97
O  0.6583  0.1569  0.3699  2 Cu 1.95-1.96
O  0.1569  0.6583  0.3699  2 Cu 1.95-1.96
O  0.9074  0.4076  0.3701  2 Cu 1.96
O  0.4076  0.9074  0.3701  2 Cu 1.96
O  0.2173  0.2173  0.6301  2 Cu 1.96-1.97
O  0.7172  0.7172  0.6294  2 Cu 1.95
O  0.4680  0.4680  0.6295  2 Cu 1.95-1.96
O  0.9675  0.9675  0.6300  2 Cu 1.95-1.97
O  0.5924  0.0926  0.6299  2 Cu 1.96
O  0.0926  0.5924  0.6299  2 Cu 1.96
O  0.8431  0.3417  0.6301  2 Cu 1.95-1.96
O  0.3417  0.8431  0.6301  2 Cu 1.95-1.96
O  0.4586  0.4586  0.1649  1 Hg 2.04
O  0.9630  0.9630  0.1489  1 Cu 1.84
O  0.7102  0.7102  0.1646  1 Hg 2.03
O  0.2075  0.2075  0.1646  1 Hg 2.03
O  0.2898  0.2898  0.8354  1 Hg 2.03
O  0.7925  0.7925  0.8354  1 Hg 2.03
O  0.5414  0.5414  0.8351  1 Hg 2.04
O  0.0370  0.0370  0.8511  1 Cu 1.84

Output
The density comes out at 6.19 g/cm³. The value obtained for the raw formation energy is -1.811 eV/atom.

(7)
BeCr3Os: optimized geometry, GGA-PBE.

a b c (Å): 3.9065 3.9065 3.9065
angles (deg): 90.00 90.00 90.00
Closest atoms and distances in Å follow each position.
Positions (direct):
Cr  0.0000  0.5000  0.0000  2 Be 1.95
Cr  0.0000  0.0000  0.5000  2 Be 1.95
Cr  0.5000  0.0000  0.0000  2 Be 1.95
Os  0.5000  0.5000  0.5000  12 Cr 2.76
Be  0.0000  0.0000  0.0000  6 Cr 1.95

Output
The density comes out at 9.89 g/cm³. The energy above the lowest structure with this stoichiometry comes out at 0 meV per atom. As for the energy of formation: 0.7712 eV/atom.

(8)
Mn2P: optimized geometry, GGA-PBE.

a b c (Å): 3.7614 3.7614 2.8111
angles (deg): 90.00 90.00 90.00
Closest atoms and distances in Å follow each position.
Positions (direct):
Mn  0.0000  0.5000  0.5000  4 P 2.35
Mn  0.5000  0.0000  0.5000  4 P 2.35
P  0.0000  0.0000  0.0000  8 Mn 2.35

Output
The density comes out at 5.88 g/cm³. As for the energy of formation: -0.0853 eV/atom.

(9)
NaTiPt: optimized geometry, GGA-PBE.

a b c (Å): 5.9784 4.5230 6.6515
angles (deg): 72.72 63.29 48.63
Closest atoms and distances in Å follow each position.
Positions (direct):
Ti  0.7500  0.5000  0.5000  4 Pt 2.58
Ti  0.2500  0.5000  0.5000  4 Pt 2.58
Na  0.8229  0.3541  0.0000  1 Na 2.40
Na  0.1771  0.6459  0.0000  1 Na 2.40
Pt  0.6460  0.0000  0.7080  4 Ti 2.58, 2 Na 2.80
Pt  0.3540  0.0000  0.2920  4 Ti 2.58, 2 Na 2.80

Output
The density comes out at 7.32 g/cm³. As for the energy of formation: -0.2905 eV/atom.

(10)
Sc2TaCd: optimized geometry, GGA-PBE.

a b c (Å): 5.8627 5.8627 5.8627
angles (deg): 148.12 127.02 63.18
Closest atoms and distances in Å follow each position.
Positions (direct):
Cd  0.2500  0.7500  0.5000  4 Sc 2.99, 4 Ta 3.07, 2 Cd 3.22
Sc  0.9976  0.9976  0.0000  2 Ta 2.95, 2 Cd 2.99, 6 Sc 3.07-3.22
Sc  0.5024  0.5024  0.0000  2 Ta 2.95, 2 Cd 2.99, 6 Sc 3.07-3.22
Ta  0.7500  0.2500  0.5000  4 Sc 2.95, 4 Cd 3.07, 2 Ta 3.22

Output
The density comes out at 7.57 g/cm³. As for the energy of formation: 0.1791 eV/atom.

(11)
PaCdAg: optimized geometry, GGA-PBE.

a b c (Å): 2.8936 2.9522 9.3074
angles (deg): 118.46 98.94 90.00
Closest atoms and distances in Å follow each position.
Positions (direct):
Ag  0.8449  0.7019  0.6898  4 Ag 2.89-2.95, 4 Cd 3.07, 2 Pa 3.19
Cd  0.4858  0.6239  0.9717  4 Cd 2.89-2.95, 4 Ag 3.07
Pa  0.6692  0.6742  0.3385  4 Pa 2.89-2.95, 2 Ag 3.19

Output
The density comes out at 10.89 g/cm³. The energy above the lowest structure with this stoichiometry comes out at 330 meV per atom. As for the energy of formation: 0.3931 eV/atom.

(12)
KInHgSb: optimized geometry, GGA-PBE.

a b c (Å): 4.6954 4.6954 7.6909
angles (deg): 90.00 90.00 120.00
Closest atoms and distances in Å follow each position.
Positions (direct):
K  0.0000  0.0000  0.6620  3 Hg 3.43, 3 In 3.58
In  0.3333  0.6667  0.9651  3 Sb 2.94, 1 Hg 3.25
Hg  0.3333  0.6667  0.3878  1 In 3.25, 3 Sb 3.43, 3 K 3.43
Sb  0.6667  0.3333  0.1143  3 In 2.94

Output
The density comes out at 5.39 g/cm³. The energy above the lowest structure with this stoichiometry comes out at 0 meV per atom. The value obtained for the raw formation energy is -0.141 eV/atom.

| no. | energy (eV for the cell shown) |
| --- | --- |
| 1 | -68.60 |
| 2 | -12.92 |
| 3 | -19.93 |
| 4 | -34.06 |
| 5 | -42.51 |
| 6 | -276.28 |
| 7 | -39.97 |
| 8 | -24.01 |
| 9 | -32.25 |
| 10 | -24.71 |
| 11 | -12.08 |
| 12 | -8.83 |